Entry 1:
DFT (GGA-PBE) results for a relaxed structure of DyPuTlBi.

abc: 7.6983 7.6983 7.6983
angles: 90.00 90.00 90.00
With the nearest neighbours (Å) after each atom.
Fractional coordinates of all 16 atoms:
Dy (0.0000, 0.0000, 0.0000)  4 Bi 3.33, 4 Tl 3.33
Dy (0.0000, 0.5000, 0.5000)  4 Bi 3.33, 4 Tl 3.33
Dy (0.5000, 0.0000, 0.5000)  4 Bi 3.33, 4 Tl 3.33
Dy (0.5000, 0.5000, 0.0000)  4 Bi 3.33, 4 Tl 3.33
Pu (0.0000, 0.0000, 0.5000)  4 Tl 3.33, 4 Bi 3.33
Pu (0.0000, 0.5000, 0.0000)  4 Tl 3.33, 4 Bi 3.33
Pu (0.5000, 0.0000, 0.0000)  4 Tl 3.33, 4 Bi 3.33
Pu (0.5000, 0.5000, 0.5000)  4 Tl 3.33, 4 Bi 3.33
Tl (0.2500, 0.2500, 0.2500)  4 Dy 3.33, 4 Pu 3.33
Tl (0.2500, 0.7500, 0.7500)  4 Dy 3.33, 4 Pu 3.33
Tl (0.7500, 0.2500, 0.7500)  4 Dy 3.33, 4 Pu 3.33
Tl (0.7500, 0.7500, 0.2500)  4 Dy 3.33, 4 Pu 3.33
Bi (0.2500, 0.2500, 0.7500)  4 Pu 3.33, 4 Dy 3.33
Bi (0.2500, 0.7500, 0.2500)  4 Pu 3.33, 4 Dy 3.33
Bi (0.7500, 0.2500, 0.2500)  4 Pu 3.33, 4 Dy 3.33
Bi (0.7500, 0.7500, 0.7500)  4 Pu 3.33, 4 Dy 3.33

Values from the calculation:
As for the crystal system: cubic. The value obtained for the formation energy from the elements is -0.27 eV per atom.

Entry 2:
DFT (GGA-PBE) results for a relaxed structure of DyTm2PuBi4.

abc: 7.7448 4.4749 7.7463
angles: 90.00 109.43 90.00
With the nearest neighbours (Å) after each atom.
Fractional coordinates of all 8 atoms:
Dy (0.0000, 0.0000, 0.0000)  6 Bi 3.18
Tm (0.5000, 0.0000, 0.5000)  6 Bi 3.15
Tm (0.5000, 0.5000, 0.0000)  6 Bi 3.13-3.14
Pu (0.0000, 0.5000, 0.5000)  6 Bi 3.19
Bi (0.2545, 0.5000, 0.2500)  3 Tm 3.13-3.15, 2 Dy 3.18, 1 Pu 3.19
Bi (0.2556, 0.0000, 0.7534)  3 Tm 3.14-3.15, 1 Dy 3.18, 2 Pu 3.19
Bi (0.7444, 0.0000, 0.2466)  3 Tm 3.14-3.15, 1 Dy 3.18, 2 Pu 3.19
Bi (0.7455, 0.5000, 0.7500)  3 Tm 3.13-3.15, 2 Dy 3.18, 1 Pu 3.19

Values from the calculation:
As for the crystal system: monoclinic. The value obtained for the formation energy from the elements is -0.68 eV per atom.

Entry 3:
DFT (GGA-PBE) results for a relaxed structure of DyPuZnBi.

abc: 7.4986 7.4986 7.4986
angles: 90.00 90.00 90.00
With the nearest neighbours (Å) after each atom.
Fractional coordinates of all 16 atoms:
Dy (0.0000, 0.0000, 0.0000)  4 Bi 3.25, 4 Zn 3.25
Dy (0.0000, 0.5000, 0.5000)  4 Bi 3.25, 4 Zn 3.25
Dy (0.5000, 0.0000, 0.5000)  4 Bi 3.25, 4 Zn 3.25
Dy (0.5000, 0.5000, 0.0000)  4 Bi 3.25, 4 Zn 3.25
Pu (0.0000, 0.0000, 0.5000)  4 Bi 3.25, 4 Zn 3.25
Pu (0.0000, 0.5000, 0.0000)  4 Bi 3.25, 4 Zn 3.25
Pu (0.5000, 0.0000, 0.0000)  4 Bi 3.25, 4 Zn 3.25
Pu (0.5000, 0.5000, 0.5000)  4 Zn 3.25, 4 Bi 3.25
Zn (0.2500, 0.2500, 0.7500)  4 Dy 3.25, 4 Pu 3.25
Zn (0.2500, 0.7500, 0.2500)  4 Dy 3.25, 4 Pu 3.25
Zn (0.7500, 0.2500, 0.2500)  4 Dy 3.25, 4 Pu 3.25
Zn (0.7500, 0.7500, 0.7500)  4 Pu 3.25, 4 Dy 3.25
Bi (0.2500, 0.2500, 0.2500)  4 Dy 3.25, 4 Pu 3.25
Bi (0.2500, 0.7500, 0.7500)  4 Dy 3.25, 4 Pu 3.25
Bi (0.7500, 0.2500, 0.7500)  4 Dy 3.25, 4 Pu 3.25
Bi (0.7500, 0.7500, 0.2500)  4 Dy 3.25, 4 Pu 3.25

Values from the calculation:
As for the crystal system: cubic. The value obtained for the formation energy from the elements is -0.26 eV per atom.

Entry 4:
DFT (GGA-PBE) results for a relaxed structure of RbDyBi.

abc: 14.0091 14.0091 14.0091
angles: 20.89 20.89 20.89
With the nearest neighbours (Å) after each atom.
Fractional coordinates of all 6 atoms:
Rb (0.1133, 0.1133, 0.1133)  3 Bi 3.85
Rb (0.8867, 0.8867, 0.8867)  3 Bi 3.85
Dy (0.3056, 0.3056, 0.3056)  4 Bi 3.10-3.30
Dy (0.6944, 0.6944, 0.6944)  4 Bi 3.10-3.30
Bi (0.3858, 0.3858, 0.3858)  4 Dy 3.10-3.30
Bi (0.6142, 0.6142, 0.6142)  4 Dy 3.10-3.30

Values from the calculation:
As for the crystal system: trigonal. The value obtained for the formation energy from the elements is -0.40 eV per atom.

Entry 5:
DFT (GGA-PBE) results for a relaxed structure of RbDyBi.

abc: 4.3242 4.3242 14.4747
angles: 90.00 90.00 90.00
With the nearest neighbours (Å) after each atom.
Fractional coordinates of all 6 atoms:
Rb (0.0000, 0.0000, 0.0000)  1 Dy 3.86, 1 Bi 4.03
Rb (0.5000, 0.5000, 0.5000)  1 Dy 3.86, 1 Bi 4.03
Dy (0.0000, 0.0000, 0.2667)  4 Bi 3.13
Dy (0.5000, 0.5000, 0.7667)  4 Bi 3.13
Bi (0.0000, 0.0000, 0.7213)  4 Dy 3.13
Bi (0.5000, 0.5000, 0.2213)  4 Dy 3.13

Values from the calculation:
As for the crystal system: tetragonal. The value obtained for the formation energy from the elements is -0.28 eV per atom.

Entry 6:
DFT (GGA-PBE) results for a relaxed structure of Rb3Dy3BiS8.

abc: 9.1170 9.1170 9.1170
angles: 52.64 52.64 52.64
With the nearest neighbours (Å) after each atom.
Fractional coordinates of all 15 atoms:
Rb (0.0000, 0.5000, 0.5000)  6 S 3.36-3.37
Rb (0.5000, 0.0000, 0.5000)  6 S 3.36-3.37
Rb (0.5000, 0.5000, 0.0000)  6 S 3.36-3.37
Dy (0.0000, 0.0000, 0.5000)  6 S 2.76-2.77
Dy (0.0000, 0.5000, 0.0000)  6 S 2.76-2.77
Dy (0.5000, 0.0000, 0.0000)  6 S 2.76-2.77
Bi (0.5000, 0.5000, 0.5000)  6 S 2.77
S (0.2298, 0.2298, 0.2298)  3 Dy 2.76
S (0.2299, 0.7303, 0.7303)  2 Dy 2.77, 1 Bi 2.77
S (0.2697, 0.2697, 0.7701)  2 Dy 2.77, 1 Bi 2.77
S (0.2697, 0.7701, 0.2697)  2 Dy 2.77, 1 Bi 2.77
S (0.7303, 0.2299, 0.7303)  2 Dy 2.77, 1 Bi 2.77
S (0.7303, 0.7303, 0.2299)  2 Dy 2.77, 1 Bi 2.77
S (0.7701, 0.2697, 0.2697)  2 Dy 2.77, 1 Bi 2.77
S (0.7702, 0.7702, 0.7702)  3 Dy 2.76

Values from the calculation:
The value obtained for the uncorrected formation energy is -1510.8 meV/atom. As for the crystal system: trigonal.

Entry 7:
DFT (GGA-PBE) results for a relaxed structure of Rb2DyBiSe4.

abc: 7.4751 4.2963 8.3685
angles: 90.00 107.11 90.00
With the nearest neighbours (Å) after each atom.
Fractional coordinates of all 8 atoms:
Rb (0.0000, 0.0000, 0.0000)  6 Se 3.44
Rb (0.5000, 0.5000, 0.0000)  6 Se 3.49-3.50
Dy (0.0000, 0.5000, 0.5000)  6 Se 2.91-2.92
Bi (0.5000, 0.0000, 0.5000)  6 Se 2.98
Se (0.2253, 0.0000, 0.6964)  2 Dy 2.92, 1 Bi 2.98
Se (0.2591, 0.5000, 0.2999)  1 Dy 2.91, 2 Bi 2.98
Se (0.7409, 0.5000, 0.7001)  1 Dy 2.91, 2 Bi 2.98
Se (0.7747, 0.0000, 0.3036)  2 Dy 2.92, 1 Bi 2.98

Values from the calculation:
The value obtained for the uncorrected formation energy is -1263.3 meV/atom. As for the crystal system: monoclinic.

Entry 8:
DFT (GGA-PBE) results for a relaxed structure of Rb2DyBiTe4.

abc: 7.9941 4.5562 8.9475
angles: 90.00 106.88 90.00
With the nearest neighbours (Å) after each atom.
Fractional coordinates of all 8 atoms:
Rb (0.0000, 0.0000, 0.0000)  6 Te 3.66-3.67
Rb (0.5000, 0.5000, 0.0000)  6 Te 3.71
Dy (0.0000, 0.5000, 0.5000)  6 Te 3.12-3.13
Bi (0.5000, 0.0000, 0.5000)  6 Te 3.18
Te (0.2282, 0.0000, 0.6991)  2 Dy 3.13, 1 Bi 3.18
Te (0.2604, 0.5000, 0.2989)  1 Dy 3.12, 2 Bi 3.18
Te (0.7396, 0.5000, 0.7011)  1 Dy 3.12, 2 Bi 3.18
Te (0.7718, 0.0000, 0.3009)  2 Dy 3.13, 1 Bi 3.18

Values from the calculation:
The value obtained for the uncorrected formation energy is -997.4 meV/atom. As for the crystal system: monoclinic.

Entry 9:
DFT (GGA-PBE) results for a relaxed structure of Dy8ReBi2.

abc: 10.0605 10.0605 6.7604
angles: 106.08 106.08 29.15
With the nearest neighbours (Å) after each atom.
Fractional coordinates of all 11 atoms:
Dy (0.0168, 0.0168, 0.2878)  2 Re 2.97, 1 Dy 3.12, 1 Bi 3.23
Dy (0.2170, 0.2170, 0.8276)  3 Bi 3.21-3.39, 4 Dy 3.36-3.43
Dy (0.3568, 0.3568, 0.4884)  1 Re 2.77
Dy (0.4125, 0.4125, 0.0417)  1 Re 3.08, 2 Dy 3.37, 2 Bi 3.43
Dy (0.5875, 0.5875, 0.9583)  1 Re 3.08, 2 Dy 3.37, 2 Bi 3.43
Dy (0.6432, 0.6432, 0.5116)  1 Re 2.77
Dy (0.7830, 0.7830, 0.1724)  3 Bi 3.21-3.39, 4 Dy 3.36-3.43
Dy (0.9832, 0.9832, 0.7122)  2 Re 2.97, 1 Dy 3.12, 1 Bi 3.23
Re (0.5000, 0.5000, 0.5000)  8 Dy 2.77-3.08
Bi (0.1800, 0.1800, 0.2612)  9 Dy 3.21-3.43
Bi (0.8200, 0.8200, 0.7388)  9 Dy 3.21-3.43

Values from the calculation:
As for the crystal system: monoclinic. The value obtained for the formation energy from the elements is -0.23 eV per atom.

Entry 10:
DFT (GGA-PBE) results for a relaxed structure of DyBiRh4.

abc: 5.3479 5.3479 5.3479
angles: 60.00 60.00 60.00
With the nearest neighbours (Å) after each atom.
Fractional coordinates of all 6 atoms:
Dy (0.0000, 0.0000, 0.0000)  12 Rh 3.14, 4 Bi 3.27
Bi (0.7500, 0.7500, 0.7500)  12 Rh 3.13, 4 Dy 3.27
Rh (0.3755, 0.3755, 0.3755)  6 Rh 2.66-2.68
Rh (0.3755, 0.3755, 0.8735)  6 Rh 2.66-2.68
Rh (0.3755, 0.8735, 0.3755)  6 Rh 2.66-2.68
Rh (0.8735, 0.3755, 0.3755)  6 Rh 2.66-2.68

Values from the calculation:
As for the crystal system: cubic. The value obtained for the formation energy from the elements is -0.39 eV per atom.

Entry 11:
DFT (GGA-PBE) results for a relaxed structure of Dy2Bi3Rh4.

abc: 9.0080 9.0080 7.3572
angles: 90.00 90.00 139.77
With the nearest neighbours (Å) after each atom.
Fractional coordinates of all 18 atoms:
Dy (0.0970, 0.9030, 0.9084)  5 Rh 2.98-3.31
Dy (0.4030, 0.5970, 0.4084)  5 Rh 2.98-3.31
Dy (0.5970, 0.4030, 0.5916)  5 Rh 2.98-3.31
Dy (0.9030, 0.0970, 0.0916)  5 Rh 2.98-3.31
Bi (0.0000, 0.0000, 0.5000)  6 Rh 2.70-2.72
Bi (0.0116, 0.4884, 0.7500)  5 Rh 2.81-2.88, 2 Bi 3.10
Bi (0.4884, 0.0116, 0.2500)  5 Rh 2.81-2.88, 2 Bi 3.10
Bi (0.5000, 0.5000, 0.0000)  6 Rh 2.70-2.72
Bi (0.5116, 0.9884, 0.7500)  5 Rh 2.81-2.88, 2 Bi 3.10
Bi (0.9884, 0.5116, 0.2500)  5 Rh 2.81-2.88, 2 Bi 3.10
Rh (0.1606, 0.8394, 0.5276)  5 Bi 2.72-2.88, 2 Rh 2.97, 1 Dy 3.00
Rh (0.1780, 0.3220, 0.7500)  3 Bi 2.70-2.81, 2 Rh 2.97, 2 Dy 2.98
Rh (0.3220, 0.1780, 0.2500)  3 Bi 2.70-2.81, 2 Rh 2.97, 2 Dy 2.98
Rh (0.3394, 0.6606, 0.0276)  5 Bi 2.72-2.88, 2 Rh 2.97, 1 Dy 3.00
Rh (0.6606, 0.3394, 0.9724)  5 Bi 2.72-2.88, 2 Rh 2.97, 1 Dy 3.00
Rh (0.6780, 0.8220, 0.7500)  3 Bi 2.70-2.81, 2 Rh 2.97, 2 Dy 2.98
Rh (0.8220, 0.6780, 0.2500)  3 Bi 2.70-2.81, 2 Rh 2.97, 2 Dy 2.98
Rh (0.8394, 0.1606, 0.4724)  5 Bi 2.72-2.88, 2 Rh 2.97, 1 Dy 3.00

Values from the calculation:
As for the crystal system: orthorhombic. The value obtained for the formation energy from the elements is -0.48 eV per atom.

Entry 12:
DFT (GGA-PBE) results for a relaxed structure of Dy2BiRh3.

abc: 7.3840 7.3840 6.7124
angles: 103.41 103.41 44.28
With the nearest neighbours (Å) after each atom.
Fractional coordinates of all 12 atoms:
Dy (0.1655, 0.1831, 0.0845)  6 Rh 2.80-3.06
Dy (0.1831, 0.1655, 0.5845)  6 Rh 2.80-3.06
Dy (0.8169, 0.8345, 0.4155)  6 Rh 2.80-3.06
Dy (0.8345, 0.8169, 0.9155)  6 Rh 2.80-3.06
Bi (0.3092, 0.6908, 0.7500)  6 Rh 2.73-2.83
Bi (0.6908, 0.3092, 0.2500)  6 Rh 2.73-2.83
Rh (0.1819, 0.8181, 0.2500)  2 Bi 2.73-2.83, 4 Dy 3.00-3.06
Rh (0.3462, 0.3620, 0.4226)  2 Bi 2.77-2.78, 4 Dy 2.80-2.93, 1 Rh 3.08
Rh (0.3620, 0.3462, 0.9226)  2 Bi 2.77-2.78, 4 Dy 2.80-2.93, 1 Rh 3.08
Rh (0.6380, 0.6538, 0.0774)  2 Bi 2.77-2.78, 4 Dy 2.80-2.93, 1 Rh 3.08
Rh (0.6538, 0.6380, 0.5774)  2 Bi 2.77-2.78, 4 Dy 2.80-2.93, 1 Rh 3.08
Rh (0.8181, 0.1819, 0.7500)  2 Bi 2.73-2.83, 4 Dy 3.00-3.06

Values from the calculation:
As for the crystal system: monoclinic. The value obtained for the formation energy from the elements is -0.49 eV per atom.

| no. | density of states at the Fermi level (states/eV/f.u.) | calculated total energy (eV per atom) |
| --- | --- | --- |
| 1 | 11.88 | -6.561 |
| 2 | 17.65 | -6.106 |
| 3 | 11.37 | -6.285 |
| 4 | 1.69 | -3.552 |
| 5 | 2.31 | -3.430 |
| 6 | 2.70 | -5.085 |
| 7 | 0.00 | -4.308 |
| 8 | 0.00 | -3.871 |
| 9 | 9.07 | -5.416 |
| 10 | 2.91 | -6.704 |
| 11 | 5.13 | -6.062 |
| 12 | 2.48 | -6.344 |